Record 1
Material: Ac4Tb4Sm3
Method: DFT, PBE
State: relaxed

energy of formation = 0.6 eV/f.u.
raw total energy = -4.406 eV/atom

Geometry as POSCAR:
```
Ac4Tb4Sm3
1.0
18.916 -2.898 0.000
18.916 2.898 0.000
0.000 0.000 3.711
Ac Tb Sm
4 4 3
Direct
0.000 0.000 0.000
0.186 0.186 0.499
0.369 0.369 0.999
0.557 0.557 0.498
0.099 0.099 0.998
0.458 0.458 0.500
0.741 0.741 0.998
0.822 0.822 0.499
0.280 0.280 0.498
0.645 0.645 0.998
0.913 0.913 0.500
```



Record 2
Material: TaCu2Sb
Method: DFT, PBE
State: relaxed

raw total energy = -5.720 eV/atom
formation energy without anion corrections = 322 meV per atom

Geometry as POSCAR:
```
TaCu2Sb
1.0
-1.489 2.374 4.780
1.489 -2.374 4.780
1.489 2.374 -4.780
Ta Cu Sb
1 2 1
Direct
0.000 0.000 0.000
0.248 0.748 0.500
0.752 0.252 0.500
0.500 0.500 0.000
```



Record 3
Material: TbAl2SbO8
Method: DFT, PBE
State: relaxed

raw total energy = -6.708 eV/atom
formation energy without anion corrections = -2049 meV per atom

Geometry as POSCAR:
```
TbAl2SbO8
1.0
-3.376 3.376 3.236
3.376 -3.376 3.236
3.376 3.376 -3.236
Tb Al Sb O
1 2 1 8
Direct
0.000 0.000 0.000
0.250 0.750 0.500
0.500 0.500 0.000
0.750 0.250 0.500
0.049 0.376 0.326
0.049 0.723 0.674
0.119 0.318 0.801
0.277 0.951 0.326
0.517 0.318 0.199
0.624 0.951 0.674
0.682 0.483 0.801
0.682 0.881 0.199
```